! Li2HgOs GGA-PBE relaxed; values from VASP
! density of states at the Fermi level	1.97	states/eV per cell
! raw total energy	-3.56	eV per atom
! calculated formation energy	280	meV per atom
! total moment	0.13	μB per formula unit
! mass density	10.7	g/cm³
! symmetry	Pmmm (47)
&SYSTEM
  ibrav = 0, nat = 4, ntyp = 3
/
ATOMIC_SPECIES
Hg 200.59 Hg.upf
Li 6.94 Li.upf
Os 190.23 Os.upf
CELL_PARAMETERS angstrom
2.8889 0.0000 0.0000
0.0000 4.7351 0.0000
0.0000 0.0000 4.5894
ATOMIC_POSITIONS angstrom
Hg 0.0000 2.3676 2.2947
Li 0.0000 0.0000 0.0000
Li 1.4444 2.3676 0.0000
Os 1.4444 0.0000 2.2947

=====

! CoRe3N GGA-PBE relaxed; values from VASP
! density of states at the Fermi level	5.84	states/eV per cell
! raw total energy	-10.20	eV per atom
! E_form (uncorrected)	34	kJ per mole of atoms
! total moment	0.01	μB per formula unit
! mass density	16.4	g/cm³
! symmetry	Pm-3m (221)
&SYSTEM
  ibrav = 0, nat = 5, ntyp = 3
/
ATOMIC_SPECIES
Re 186.21 Re.upf
Co 58.93 Co.upf
N 14.01 N.upf
CELL_PARAMETERS angstrom
-0.4487 3.3093 2.2064
-3.5060 0.7194 -1.7920
-1.8781 -2.1336 2.8180
ATOMIC_POSITIONS angstrom
Re -1.7530 0.3597 -0.8960
Re -0.9391 -1.0668 1.4090
Re -0.2244 1.6546 1.1032
Co -2.9165 0.9475 1.6162
N 0.0000 0.0000 0.0000

=====

! BaPr2Ag2Pb2 GGA-PBE relaxed; values from VASP
! density of states at the Fermi level	1.50	states/eV per cell
! raw total energy	-3.89	eV per atom
! calculated formation energy	-378	meV per atom
! total moment	0.00	μB per formula unit
! mass density	7.9	g/cm³
! symmetry	R-3m (166)
&SYSTEM
  ibrav = 0, nat = 7, ntyp = 4
/
ATOMIC_SPECIES
Ba 137.33 Ba.upf
Pr 140.91 Pr.upf
Ag 107.87 Ag.upf
Pb 207.20 Pb.upf
CELL_PARAMETERS angstrom
-3.6329 1.6917 -3.1556
-4.7129 -1.9326 0.2672
-5.2272 6.7805 5.5304
ATOMIC_POSITIONS angstrom
Ba 0.0000 0.0000 0.0000
Pr -4.2126 3.9337 2.8361
Pr -9.3604 2.6059 -0.1942
Ag -6.3840 2.1405 0.2522
Ag -7.1890 4.3991 2.3898
Pb -10.2300 5.0458 2.1150
Pb -3.3430 1.4938 0.5270

=====

! ScCd2In GGA-PBE relaxed; values from VASP
! density of states at the Fermi level	2.73	states/eV per cell
! raw total energy	-2.80	eV per atom
! calculated formation energy	-70	meV per atom
! total moment	0.00	μB per formula unit
! mass density	6.8	g/cm³
! symmetry	R3m (160)
&SYSTEM
  ibrav = 0, nat = 4, ntyp = 3
/
ATOMIC_SPECIES
Cd 112.41 Cd.upf
In 114.82 In.upf
Sc 44.96 Sc.upf
CELL_PARAMETERS angstrom
10.1912 0.0113 0.0066
9.6533 3.2673 0.0066
9.6533 1.5948 2.8516
ATOMIC_POSITIONS angstrom
Cd 0.0315 0.0052 0.0031
Cd 7.3943 1.2216 0.7181
In 14.7209 2.4321 1.4297
Sc 22.0998 3.6512 2.1464

=====

! TeBr GGA-PBE relaxed; values from VASP
! density of states at the Fermi level	2.03	states/eV per cell
! raw total energy	-2.47	eV per atom
! E_form (uncorrected)	-6	kJ per mole of atoms
! total moment	0.00	μB per formula unit
! mass density	4.9	g/cm³
! symmetry	Cm (8)
&SYSTEM
  ibrav = 0, nat = 6, ntyp = 2
/
ATOMIC_SPECIES
Te 127.60 Te.upf
Br 79.90 Br.upf
CELL_PARAMETERS angstrom
1.9503 6.1084 -0.0090
-1.9503 6.1084 -0.0090
0.0000 0.8405 8.9057
ATOMIC_POSITIONS angstrom
Te 0.0000 0.2400 0.1158
Te 0.0000 1.5657 5.9610
Te 0.0000 9.1108 7.8436
Br 0.0000 8.1823 3.8418
Br 0.0000 5.2247 6.0781
Br 0.0000 4.5275 1.3534

=====

! Sc2Be5Fe2Co GGA-PBE relaxed; values from VASP
! density of states at the Fermi level	12.95	states/eV per cell
! raw total energy	-5.59	eV per atom
! calculated formation energy	-56	meV per atom
! total moment	0.10	μB per formula unit
! mass density	4.5	g/cm³
! symmetry	P4/mbm (127)
&SYSTEM
  ibrav = 0, nat = 20, ntyp = 4
/
ATOMIC_SPECIES
Sc 44.96 Sc.upf
Be 9.01 Be.upf
Fe 55.84 Fe.upf
Co 58.93 Co.upf
CELL_PARAMETERS angstrom
-0.8281 -2.4456 -1.2688
8.2578 -3.1831 0.7460
-2.0380 -3.4271 7.9360
ATOMIC_POSITIONS angstrom
Sc 5.2488 -2.7817 1.9363
Sc 0.9710 -3.8285 6.7458
Sc 0.8348 -1.6696 2.6734
Sc 5.3850 -4.9406 6.0087
Be 1.0202 -1.9909 -0.0898
Be 4.3715 -7.0649 7.5031
Be -1.6503 -4.1742 5.8614
Be 4.3384 -4.9457 3.4400
Be 7.0420 -4.8817 1.5519
Be 1.0533 -4.1101 3.9733
Be 2.7382 -5.3290 5.2232
Be 2.6535 -3.7268 2.1901
Be 3.7149 -2.8144 -0.2614
Be -1.4330 -2.9364 3.3336
Fe -0.2116 -2.5717 5.0951
Fe 6.4313 -4.0385 3.5870
Fe 3.4275 -4.9870 7.3757
Fe 2.7923 -1.6232 1.3064
Co 0.0000 0.0000 0.0000
Co 3.1099 -3.3051 4.3410

=====

! Ce2DyMg GGA-PBE relaxed; values from VASP
! density of states at the Fermi level	13.55	states/eV per cell
! raw total energy	-4.34	eV per atom
! calculated formation energy	172	meV per atom
! total moment	2.25	μB per formula unit
! mass density	6.5	g/cm³
! symmetry	Fm-3m (225)
&SYSTEM
  ibrav = 0, nat = 4, ntyp = 3
/
ATOMIC_SPECIES
Mg 24.30 Mg.upf
Ce 140.12 Ce.upf
Dy 162.50 Dy.upf
CELL_PARAMETERS angstrom
-4.6383 2.9779 0.0159
-3.4844 -0.3488 4.2566
-0.5385 4.2439 3.4757
ATOMIC_POSITIONS angstrom
Mg -4.3306 3.4365 3.8741
Ce -2.1653 1.7183 1.9370
Ce -6.4958 5.1548 5.8111
Dy 0.0000 0.0000 0.0000

=====

! Tm3ScNi GGA-PBE relaxed; values from VASP
! density of states at the Fermi level	14.88	states/eV per cell
! raw total energy	-5.23	eV per atom
! calculated formation energy	-128	meV per atom
! total moment	0.25	μB per formula unit
! mass density	7.8	g/cm³
! symmetry	C2/m (12)
&SYSTEM
  ibrav = 0, nat = 10, ntyp = 3
/
ATOMIC_SPECIES
Tm 168.93 Tm.upf
Sc 44.96 Sc.upf
Ni 58.69 Ni.upf
CELL_PARAMETERS angstrom
-3.5255 -3.8181 4.6539
-2.5901 -1.7302 -6.2421
6.8490 -1.2415 0.2240
ATOMIC_POSITIONS angstrom
Tm -1.1531 -3.6205 3.6886
Tm -0.0618 -2.0108 -1.5975
Tm 0.7952 -4.7790 0.2332
Tm -2.5651 -3.7026 0.5520
Tm 1.8865 -3.1693 -5.0528
Tm 3.2984 -3.0872 -1.9163
Sc 2.5449 -3.7018 3.1323
Sc -1.8116 -3.0880 -4.4965
Ni -1.5938 -4.1076 -1.7731
Ni 2.3272 -2.6822 0.4089

=====

! LaFe2W GGA-PBE relaxed; values from VASP
! density of states at the Fermi level	3.95	states/eV per cell
! raw total energy	-8.04	eV per atom
! calculated formation energy	665	meV per atom
! total moment	2.56	μB per formula unit
! mass density	10.3	g/cm³
! symmetry	R-3m (166)
&SYSTEM
  ibrav = 0, nat = 4, ntyp = 3
/
ATOMIC_SPECIES
Fe 55.84 Fe.upf
La 138.91 La.upf
W 183.84 W.upf
CELL_PARAMETERS angstrom
-2.5528 0.8293 8.4180
-0.0220 -0.8406 8.7955
0.1749 2.1991 8.5558
ATOMIC_POSITIONS angstrom
Fe -0.0359 0.0327 0.3856
Fe -1.1640 1.0612 12.4990
La -0.6000 0.5470 6.4423
W -1.7999 1.6409 19.3269

=====

! Sc3VSi GGA-PBE relaxed; values from VASP
! density of states at the Fermi level	8.17	states/eV per cell
! raw total energy	-6.34	eV per atom
! E_form (uncorrected)	35	kJ per mole of atoms
! total moment	4.62	μB per formula unit
! mass density	2.8	g/cm³
! symmetry	Pm-3m (221)
&SYSTEM
  ibrav = 0, nat = 5, ntyp = 3
/
ATOMIC_SPECIES
Sc 44.96 Sc.upf
Si 28.09 Si.upf
V 50.94 V.upf
CELL_PARAMETERS angstrom
-3.1483 2.3171 3.1397
-2.4177 -4.3249 0.7675
3.0629 -1.0320 3.8330
ATOMIC_POSITIONS angstrom
Sc -1.2088 -2.1624 0.3837
Sc 1.5315 -0.5160 1.9165
Sc -1.5742 1.1586 1.5698
Si 0.0000 0.0000 0.0000
V -1.2515 -1.5199 3.8701